(1)
A plane-wave DFT calculation with GGA-PBE was carried out for crystalline Rb2CaMg2 at its relaxed geometry.

Cell: 8.9175 8.9175 6.2162 Å, 90.00 90.00 90.00°
Closest atoms and distances in Å follow each position.
Fractional positions:
Ca: 0.0000 0.0000 0.0000  4 Mg 3.53
Ca: 0.5000 0.5000 0.0000  4 Mg 3.53
Mg: 0.3753 0.8753 0.0000  1 Mg 3.15
Mg: 0.8753 0.6247 0.0000  1 Mg 3.15
Mg: 0.6247 0.1247 0.0000  1 Mg 3.15
Mg: 0.1247 0.3753 0.0000  1 Mg 3.15
Rb: 0.1747 0.6747 0.5000  6 Mg 4.01-4.12, 1 Rb 4.41
Rb: 0.6747 0.8253 0.5000  6 Mg 4.01-4.12, 1 Rb 4.41
Rb: 0.8253 0.3253 0.5000  6 Mg 4.01-4.12, 1 Rb 4.41
Rb: 0.3253 0.1747 0.5000  6 Mg 4.01-4.12, 1 Rb 4.41

Summary:
ΔH_f (0 K), eV/atom: 0.239
Uncorrected energy, eV/atom: -1.19

(2)
A plane-wave DFT calculation with GGA-PBE was carried out for crystalline RbCa2Mg at its relaxed geometry.

Cell: 5.3145 5.3145 13.7232 Å, 78.84 78.84 90.00°
Closest atoms and distances in Å follow each position.
Fractional positions:
Ca: 0.6053 0.1250 0.2500  4 Ca 3.61-3.91, 2 Mg 3.76, 2 Rb 3.84
Ca: 0.1447 0.6250 0.2500  4 Ca 3.61-3.91, 2 Mg 3.76, 2 Rb 3.84
Ca: 0.3750 0.3947 0.7500  4 Ca 3.61-3.91, 2 Mg 3.76, 2 Rb 3.84
Ca: 0.8750 0.8553 0.7500  4 Ca 3.61-3.91, 2 Mg 3.76, 2 Rb 3.84
Mg: 0.5000 0.5000 0.0000  4 Rb 3.76, 4 Ca 3.76
Mg: 0.2500 0.7500 0.5000  4 Rb 3.76, 4 Ca 3.76
Rb: 0.0000 0.0000 0.0000  4 Mg 3.76, 4 Ca 3.84
Rb: 0.7500 0.2500 0.5000  4 Mg 3.76, 4 Ca 3.84

Summary:
ΔH_f (0 K), eV/atom: 0.379
Uncorrected energy, eV/atom: -1.26

(3)
A plane-wave DFT calculation with GGA-PBE was carried out for crystalline RbCaMg14 at its relaxed geometry.

Cell: 6.7564 6.7564 10.8327 Å, 90.00 90.00 122.28°
Closest atoms and distances in Å follow each position.
Fractional positions:
Rb: 0.3288 0.6712 0.5000  2 Ca 3.26, 10 Mg 3.36-3.53
Ca: 0.8378 0.1622 0.5000  2 Rb 3.26, 10 Mg 3.32-3.48
Mg: 0.8287 0.1713 0.0000  12 Mg 3.18-3.44
Mg: 0.3289 0.6711 0.0000  12 Mg 3.19-3.42
Mg: 0.3335 0.1714 0.5000  8 Mg 3.23-3.47, 2 Ca 3.32-3.44, 2 Rb 3.36-3.39
Mg: 0.3368 0.1696 0.0000  12 Mg 3.14-3.44
Mg: 0.8286 0.6665 0.5000  8 Mg 3.23-3.47, 2 Ca 3.32-3.44, 2 Rb 3.36-3.39
Mg: 0.8304 0.6632 0.0000  12 Mg 3.14-3.44
Mg: 0.1704 0.3253 0.2307  10 Mg 3.14-3.51, 1 Ca 3.48
Mg: 0.1704 0.3253 0.7693  10 Mg 3.14-3.51, 1 Ca 3.48
Mg: 0.6747 0.8296 0.2307  10 Mg 3.14-3.51, 1 Ca 3.48
Mg: 0.6747 0.8296 0.7693  10 Mg 3.14-3.51, 1 Ca 3.48
Mg: 0.6673 0.3327 0.2491  11 Mg 3.26-3.43, 1 Ca 3.39
Mg: 0.6673 0.3327 0.7509  11 Mg 3.26-3.43, 1 Ca 3.39
Mg: 0.1608 0.8392 0.2374  11 Mg 3.19-3.51, 1 Rb 3.47
Mg: 0.1608 0.8392 0.7625  11 Mg 3.19-3.51, 1 Rb 3.47

Summary:
Polymorph energy (0 for the lowest one), eV per atom: 0.010
ΔH_f (0 K), eV/atom: 0.130
Uncorrected energy, eV/atom: -1.45

(4)
A plane-wave DFT calculation with GGA-PBE was carried out for crystalline RbCaMg14 at its relaxed geometry.

Cell: 6.7349 6.7349 10.7313 Å, 90.00 90.00 120.00°
Closest atoms and distances in Å follow each position.
Fractional positions:
Rb: 0.0000 0.0000 0.5000  12 Mg 3.37-3.43
Ca: 0.0000 0.0000 0.0000  12 Mg 3.32-3.37
Mg: 0.0039 0.5019 0.0000  10 Mg 3.22-3.41, 2 Ca 3.37
Mg: 0.0090 0.5045 0.5000  10 Mg 3.28-3.46, 2 Rb 3.37
Mg: 0.4981 0.9961 0.0000  10 Mg 3.22-3.41, 2 Ca 3.37
Mg: 0.4955 0.9910 0.5000  10 Mg 3.28-3.46, 2 Rb 3.37
Mg: 0.4981 0.5019 0.0000  10 Mg 3.22-3.41, 2 Ca 3.37
Mg: 0.4955 0.5045 0.5000  10 Mg 3.28-3.46, 2 Rb 3.37
Mg: 0.1755 0.8245 0.2435  10 Mg 3.19-3.55, 1 Ca 3.32, 1 Rb 3.43
Mg: 0.1755 0.8245 0.7565  10 Mg 3.19-3.55, 1 Ca 3.32, 1 Rb 3.43
Mg: 0.1755 0.3511 0.2435  10 Mg 3.19-3.55, 1 Ca 3.32, 1 Rb 3.43
Mg: 0.1755 0.3511 0.7565  10 Mg 3.19-3.55, 1 Ca 3.32, 1 Rb 3.43
Mg: 0.6489 0.8245 0.2435  10 Mg 3.19-3.55, 1 Ca 3.32, 1 Rb 3.43
Mg: 0.6489 0.8245 0.7565  10 Mg 3.19-3.55, 1 Ca 3.32, 1 Rb 3.43
Mg: 0.6667 0.3333 0.2533  12 Mg 3.32-3.37
Mg: 0.6667 0.3333 0.7467  12 Mg 3.32-3.37

Summary:
Polymorph energy (0 for the lowest one), eV per atom: 0.000
ΔH_f (0 K), eV/atom: 0.119
Uncorrected energy, eV/atom: -1.46

(5)
A plane-wave DFT calculation with GGA-PBE was carried out for crystalline RbCaMg2 at its relaxed geometry.

Cell: 9.5644 9.5644 7.6940 Å, 51.57 51.57 90.00°
Closest atoms and distances in Å follow each position.
Fractional positions:
Ca: 0.5000 0.5000 0.0000  4 Mg 3.36, 2 Rb 3.67
Ca: 0.2500 0.7500 0.5000  4 Mg 3.36, 2 Rb 3.67
Mg: 0.6025 0.1250 0.2500  2 Ca 3.36, 2 Rb 3.65, 2 Mg 3.69
Mg: 0.1475 0.6250 0.2500  2 Ca 3.36, 2 Rb 3.65, 2 Mg 3.69
Mg: 0.3750 0.3975 0.7500  2 Ca 3.36, 2 Rb 3.65, 2 Mg 3.69
Mg: 0.8750 0.8525 0.7500  2 Ca 3.36, 2 Rb 3.65, 2 Mg 3.69
Rb: 0.0000 0.0000 0.0000  4 Mg 3.65, 2 Ca 3.67
Rb: 0.7500 0.2500 0.5000  4 Mg 3.65, 2 Ca 3.67

Summary:
Polymorph energy (0 for the lowest one), eV per atom: 0.162
ΔH_f (0 K), eV/atom: 0.400
Uncorrected energy, eV/atom: -1.14

(6)
A plane-wave DFT calculation with GGA-PBE was carried out for crystalline Rb3CaMg at its relaxed geometry.

Cell: 7.1980 7.1980 7.1980 Å, 90.00 90.00 90.00°
Closest atoms and distances in Å follow each position.
Fractional positions:
Ca: 0.5000 0.5000 0.5000  12 Rb 5.09
Mg: 0.0000 0.0000 0.0000  6 Rb 3.60
Rb: 0.0000 0.5000 0.0000  2 Mg 3.60
Rb: 0.0000 0.0000 0.5000  2 Mg 3.60
Rb: 0.5000 0.0000 0.0000  2 Mg 3.60

Summary:
Polymorph energy (0 for the lowest one), eV per atom: 0.000
ΔH_f (0 K), eV/atom: 0.392
Uncorrected energy, eV/atom: -0.91